Record 1
Here is Sb2As after structural relaxation from Alexandria. Energies are from PBE-GGA.

Cell: 8.379 8.379 3.787 Å, 90.00 90.00 120.00°
Fractional coordinates of all 9 atoms:
Sb (0.000, 0.267, 0.000)
Sb (0.000, 0.564, 0.500)
Sb (0.267, 0.000, 0.000)
Sb (0.436, 0.436, 0.500)
Sb (0.564, 0.000, 0.500)
Sb (0.733, 0.733, 0.000)
As (0.000, 0.000, 0.500)
As (0.333, 0.667, 0.000)
As (0.667, 0.333, 0.000)

## Properties
- ΔE to the lowest computed polymorph: 0.211 eV per atom
- Energy relative to the elements, uncorrected: 0.277 eV/atom
- Spin magnetization: 0.000 μB/atom
- E: -36.19 eV/cell



Record 2
Here is ScTa3B after structural relaxation from Alexandria. Energies are from PBE-GGA.

Cell: 4.450 4.450 4.450 Å, 90.00 90.00 90.00°
Fractional coordinates of all 5 atoms:
Sc (0.000, 0.000, 0.000)
Ta (0.000, 0.500, 0.500)
Ta (0.500, 0.000, 0.500)
Ta (0.500, 0.500, 0.000)
B (0.500, 0.500, 0.500)

## Properties
- ΔE to the lowest computed polymorph: 0.000 eV per atom
- Formation energy from the elements: 21 meV/atom
- Spin magnetization: 0.000 μB/atom
- E: -48.46 eV/cell



Record 3
Here is FeIr2W2 after structural relaxation from Alexandria. Energies are from PBE-GGA.

Cell: 3.902 3.902 11.433 Å, 90.00 90.00 90.00°
Fractional coordinates of all 10 atoms:
Fe (0.000, 0.000, 0.000)
Fe (0.500, 0.500, 0.500)
Ir (0.000, 0.000, 0.395)
Ir (0.000, 0.000, 0.605)
Ir (0.500, 0.500, 0.105)
Ir (0.500, 0.500, 0.895)
W (0.000, 0.500, 0.250)
W (0.000, 0.500, 0.750)
W (0.500, 0.000, 0.250)
W (0.500, 0.000, 0.750)

## Properties
- ΔE to the lowest computed polymorph: 0.835 eV per atom
- Formation energy from the elements: 721 meV/atom
- Spin magnetization: 0.026 μB/atom
- E: -96.98 eV/cell



Record 4
Here is NaHgS2 after structural relaxation from Alexandria. Energies are from PBE-GGA.

Cell: 3.956 3.956 24.198 Å, 90.00 90.00 120.00°
Fractional coordinates of all 12 atoms:
Na (0.000, 0.000, 0.000)
Na (0.333, 0.667, 0.667)
Na (0.667, 0.333, 0.333)
Hg (0.000, 0.000, 0.500)
Hg (0.333, 0.667, 0.167)
Hg (0.667, 0.333, 0.833)
S (0.000, 0.000, 0.107)
S (0.000, 0.000, 0.893)
S (0.333, 0.667, 0.559)
S (0.333, 0.667, 0.774)
S (0.667, 0.333, 0.226)
S (0.667, 0.333, 0.441)

## Properties
- Energy relative to the elements, uncorrected: -0.052 eV/atom
- Spin magnetization: 0.000 μB/atom
- E: -30.25 eV/cell



Record 5
Here is Cr2OsCl after structural relaxation from Alexandria. Energies are from PBE-GGA.

Cell: 2.881 2.881 6.622 Å, 90.00 90.00 90.00°
Fractional coordinates of all 4 atoms:
Cr (0.000, 0.000, 0.000)
Cr (0.500, 0.500, 0.249)
Os (0.000, 0.000, 0.452)
Cl (0.500, 0.500, 0.801)

## Properties
- ΔE to the lowest computed polymorph: 0.310 eV per atom
- Energy relative to the elements, uncorrected: 0.479 eV/atom
- Spin magnetization: 0.000 μB/atom
- E: -30.41 eV/cell



Record 6
Here is CrGaC3 after structural relaxation from Alexandria. Energies are from PBE-GGA.

Cell: 3.880 3.880 3.880 Å, 90.00 90.00 90.00°
Fractional coordinates of all 5 atoms:
Cr (0.000, 0.000, 0.000)
Ga (0.500, 0.500, 0.500)
C (0.000, 0.500, 0.500)
C (0.500, 0.000, 0.500)
C (0.500, 0.500, 0.000)

## Properties
- ΔE to the lowest computed polymorph: 1.228 eV per atom
- Formation energy from the elements: 2915 meV/atom
- Spin magnetization: 0.015 μB/atom
- E: -25.75 eV/cell



Record 7
Here is CrPbCl2 after structural relaxation from Alexandria. Energies are from PBE-GGA.

Cell: 3.290 3.290 8.653 Å, 90.00 90.00 90.00°
Fractional coordinates of all 4 atoms:
Cr (0.000, 0.000, 0.000)
Pb (0.000, 0.000, 0.500)
Cl (0.500, 0.500, 0.181)
Cl (0.500, 0.500, 0.819)

## Properties
- ΔE to the lowest computed polymorph: 0.264 eV per atom
- Energy relative to the elements, uncorrected: -0.264 eV/atom
- Spin magnetization: 1.139 μB/atom
- E: -18.08 eV/cell



Record 8
Here is CsSr2PbCl8 after structural relaxation from Alexandria. Energies are from PBE-GGA.

Cell: 6.721 9.335 6.786 Å, 90.00 90.20 90.00°
Fractional coordinates of all 12 atoms:
Cs (0.000, 0.000, 0.000)
Sr (0.500, 0.251, 0.500)
Sr (0.500, 0.749, 0.500)
Pb (0.000, 0.500, 0.000)
Cl (0.150, 0.295, 0.247)
Cl (0.150, 0.705, 0.247)
Cl (0.339, 0.500, 0.746)
Cl (0.411, 0.000, 0.733)
Cl (0.589, 0.000, 0.267)
Cl (0.661, 0.500, 0.254)
Cl (0.850, 0.295, 0.753)
Cl (0.850, 0.705, 0.753)

## Properties
- Energy relative to the elements, uncorrected: -1.784 eV/atom
- Spin magnetization: 0.000 μB/atom
- E: -44.11 eV/cell



Q: E of number 6 (CrGaC3)?
A: -25.75 eV/cell



Q: What is the E in the fifth record?
A: -30.41 eV/cell